A relaxed InRe2Ru crystal. Source: Alexandria, functional GGA-PBE.

a b c (Å): 6.3325 6.3325 6.3325
angles (deg): 90.00 90.00 90.00
With the nearest neighbours (Å) after each atom.
Space group F-43m (No. 216)
One atom of each set of equivalent atoms:
In 0.0000 0.0000 0.0000 x4  4 Re 2.74, 4 Ru 2.74
Re 0.0000 0.0000 0.5000 x4  4 Re 2.74, 4 Ru 2.74
Re 0.2500 0.2500 0.2500 x4  4 In 2.74, 4 Re 2.74
Ru 0.2500 0.2500 0.7500 x4  4 In 2.74, 4 Re 2.74

Output
E_form = 437 meV per atom

A relaxed InRe2Ru2 crystal. Source: Alexandria, functional GGA-PBE.

a b c (Å): 7.6599 7.6599 2.7948
angles (deg): 90.00 90.00 90.00
With the nearest neighbours (Å) after each atom.
Space group P4/mbm (No. 127)
One atom of each set of equivalent atoms:
In 0.0000 0.0000 0.0000 x2  2 In 2.79, 4 Re 3.05
Re 0.1205 0.3795 0.0000 x4  3 Re 2.61-2.79, 6 Ru 2.63-2.70
Ru 0.1661 0.6661 0.5000 x4  6 Re 2.63-2.70, 2 Ru 2.79

Output
E_form = 258 meV per atom

A relaxed InRe2Ru crystal. Source: Alexandria, functional GGA-PBE.

a b c (Å): 3.1831 4.3330 9.1813
angles (deg): 90.00 90.00 90.00
With the nearest neighbours (Å) after each atom.
Space group Immm (No. 71)
One atom of each set of equivalent atoms:
In 0.0000 0.0000 0.0000 x2  4 Ru 2.69, 4 Re 2.79
Re 0.0000 0.5000 0.2499 x4  4 Re 2.69, 2 Ru 2.79, 2 In 2.79
Ru 0.0000 0.0000 0.5000 x2  4 In 2.69, 4 Re 2.79

Output
E_form = 382 meV per atom

A relaxed In2ReRu crystal. Source: Alexandria, functional GGA-PBE.

a b c (Å): 3.2208 3.2208 6.6241
angles (deg): 90.00 90.00 90.00
With the nearest neighbours (Å) after each atom.
Space group P4/mmm (No. 123)
One atom of each set of equivalent atoms:
In 0.0000 0.0000 0.2420 x2  4 Ru 2.79, 4 Re 2.85
Re 0.5000 0.5000 0.5000 x1  8 In 2.85
Ru 0.5000 0.5000 0.0000 x1  8 In 2.79

Output
E_form = 484 meV per atom

A relaxed InRe2Ru crystal. Source: Alexandria, functional GGA-PBE.

a b c (Å): 2.8716 2.8716 7.7682
angles (deg): 90.00 90.00 90.00
With the nearest neighbours (Å) after each atom.
Space group P4mm (No. 99)
One atom of each set of equivalent atoms:
In 0.0000 0.0000 0.0000 x1  4 In 2.87, 4 Ru 2.89, 4 Re 2.98
Re 0.0000 0.0000 0.5101 x1  4 Ru 2.68, 8 Re 2.70-2.87
Re 0.5000 0.5000 0.2801 x1  8 Re 2.70-2.87, 4 In 2.98
Ru 0.5000 0.5000 0.7357 x1  4 Re 2.68, 4 Ru 2.87, 4 In 2.89

Output
E_form = 202 meV per atom

A relaxed In2ReRu crystal. Source: Alexandria, functional GGA-PBE.

a b c (Å): 3.0034 3.0034 26.8676
angles (deg): 90.00 90.00 120.00
With the nearest neighbours (Å) after each atom.
Space group R-3m (No. 166, hexagonal axes)
One atom of each set of equivalent atoms:
In 0.0000 0.0000 0.2476 x6  3 Ru 2.78, 3 Re 2.88, 6 In 3.00
Re 0.0000 0.0000 0.0000 x3  6 In 2.88, 6 Re 3.00
Ru 0.0000 0.0000 0.5000 x3  6 In 2.78, 6 Ru 3.00

Output
E_form = 503 meV per atom

A relaxed InRe2Ru crystal. Source: Alexandria, functional GGA-PBE.

a b c (Å): 2.8033 2.8033 8.1390
angles (deg): 90.00 90.00 90.00
With the nearest neighbours (Å) after each atom.
Space group P4/mmm (No. 123)
One atom of each set of equivalent atoms:
In 0.0000 0.0000 0.0000 x1  4 In 2.80, 8 Re 2.98
Re 0.5000 0.5000 0.2730 x2  4 Ru 2.71, 4 Re 2.80, 4 In 2.98
Ru 0.0000 0.0000 0.5000 x1  8 Re 2.71, 4 Ru 2.80

Output
E_form = 387 meV per atom

A relaxed In2ReRu crystal. Source: Alexandria, functional GGA-PBE.

a b c (Å): 7.4950 7.4950 5.4947
angles (deg): 90.00 90.00 90.00
With the nearest neighbours (Å) after each atom.
Space group I-42d (No. 122)
One atom of each set of equivalent atoms:
In 0.2404 0.2500 0.1250 x8  2 Ru 2.69, 2 In 2.75, 2 Re 2.79
Re 0.0000 0.0000 0.5000 x4  2 Ru 2.75, 4 In 2.79
Ru 0.0000 0.0000 0.0000 x4  4 In 2.69, 2 Re 2.75

Output
E_form = 1003 meV per atom

A relaxed InRe2Ru crystal. Source: Alexandria, functional GGA-PBE.

a b c (Å): 4.7310 4.7310 2.8677
angles (deg): 90.00 90.00 90.00
With the nearest neighbours (Å) after each atom.
Space group P4/mmm (No. 123)
One atom of each set of equivalent atoms:
In 0.0000 0.0000 0.0000 x1  8 Re 2.77, 2 In 2.87
Re 0.0000 0.5000 0.5000 x2  4 In 2.77, 4 Ru 2.77, 2 Re 2.87
Ru 0.5000 0.5000 0.0000 x1  8 Re 2.77, 2 Ru 2.87

Output
E_form = 730 meV per atom

A relaxed In2ReRu crystal. Source: Alexandria, functional GGA-PBE.

a b c (Å): 2.9356 2.9673 16.9979
angles (deg): 90.00 90.00 90.00
With the nearest neighbours (Å) after each atom.
Space group Amm2 (No. 38)
One atom of each set of equivalent atoms:
In 0.0000 0.0000 0.0000 x2  6 In 2.94-3.18, 4 Re 2.95
In 0.5000 0.0000 0.1661 x2  4 Ru 2.90, 6 In 2.94-3.18
Re 0.5000 0.0000 0.3770 x2  4 Ru 2.62
Ru 0.0000 0.0000 0.7842 x2  4 Re 2.62, 4 In 2.90

Output
E_form = 119 meV per atom

A relaxed InRe2Ru crystal. Source: Alexandria, functional GGA-PBE.

a b c (Å): 2.8570 2.8570 27.1318
angles (deg): 90.00 90.00 120.00
With the nearest neighbours (Å) after each atom.
Space group R3m (No. 160, hexagonal axes)
One atom of each set of equivalent atoms:
In 0.0000 0.0000 0.0000 x3  6 In 2.86, 3 Ru 2.87, 3 Re 2.96
Re 0.0000 0.0000 0.2429 x3  9 Re 2.69-2.86, 3 In 2.96
Re 0.0000 0.0000 0.4979 x3  3 Ru 2.68, 9 Re 2.69-2.86
Ru 0.0000 0.0000 0.7533 x3  3 Re 2.68, 6 Ru 2.86, 3 In 2.87

Output
E_form = 260 meV per atom

A relaxed InReRu crystal. Source: Alexandria, functional GGA-PBE.

a b c (Å): 2.8735 2.8735 6.9013
angles (deg): 90.00 90.00 120.00
With the nearest neighbours (Å) after each atom.
Space group P3m1 (No. 156)
One atom of each set of equivalent atoms:
In 0.0000 0.0000 0.0000 x1  6 In 2.87, 3 Ru 2.92, 3 Re 2.99
Re 0.6667 0.3333 0.3596 x1  3 Ru 2.61, 6 Re 2.87
Ru 0.3333 0.6667 0.6523 x1  3 Re 2.61, 6 Ru 2.87, 3 In 2.92

Output
E_form = 286 meV per atom

A relaxed InReRu crystal. Source: Alexandria, functional GGA-PBE.

a b c (Å): 2.8842 3.6481 9.4338
angles (deg): 90.00 90.00 90.00
With the nearest neighbours (Å) after each atom.
Space group Imm2 (No. 44)
One atom of each set of equivalent atoms:
In 0.0000 0.0000 0.0000 x2  2 In 2.88, 5 Ru 2.89-3.00, 5 Re 2.92-2.96
Re 0.0000 0.0000 0.6866 x2  4 Ru 2.64, 2 Re 2.88, 4 In 2.92
Ru 0.0000 0.0000 0.3182 x2  4 Re 2.64, 2 Ru 2.88, 4 In 2.89

Output
E_form = 341 meV per atom

A relaxed InRe2Ru crystal. Source: Alexandria, functional GGA-PBE.

a b c (Å): 7.4881 7.4881 5.1832
angles (deg): 90.00 90.00 90.00
With the nearest neighbours (Å) after each atom.
Space group I-42d (No. 122)
One atom of each set of equivalent atoms:
In 0.0000 0.0000 0.0000 x4  2 Ru 2.59
Re 0.1976 0.2500 0.6250 x8  2 Ru 2.47, 2 Re 2.71
Ru 0.0000 0.0000 0.5000 x4  4 Re 2.47, 2 In 2.59

Output
E_form = 948 meV per atom

A relaxed InRe2Ru crystal. Source: Alexandria, functional GGA-PBE.

a b c (Å): 5.2481 8.5663 2.8376
angles (deg): 90.00 90.00 90.00
With the nearest neighbours (Å) after each atom.
Space group Cmmm (No. 65)
One atom of each set of equivalent atoms:
In 0.0000 0.0000 0.0000 x2  2 Ru 2.62, 2 In 2.84, 8 Re 2.88
Re 0.2500 0.2500 0.5000 x4  4 Re 2.62-2.84, 4 In 2.88, 4 Ru 2.88
Ru 0.0000 0.5000 0.0000 x2  2 In 2.62, 2 Ru 2.84, 8 Re 2.88

Output
E_form = 507 meV per atom

A relaxed InReRu crystal. Source: Alexandria, functional GGA-PBE.

a b c (Å): 2.9011 2.9011 11.7187
angles (deg): 90.00 90.00 90.00
With the nearest neighbours (Å) after each atom.
Space group I4mm (No. 107)
One atom of each set of equivalent atoms:
In 0.0000 0.0000 0.0000 x2  4 In 2.90, 4 Ru 2.93, 4 Re 2.99
Re 0.0000 0.0000 0.3147 x2  4 Ru 2.60, 4 Re 2.90
Ru 0.0000 0.0000 0.6785 x2  4 Re 2.60, 4 Ru 2.90

Output
E_form = 130 meV per atom

A relaxed In2ReRu crystal. Source: Alexandria, functional GGA-PBE.

a b c (Å): 4.1085 4.1085 8.2599
angles (deg): 90.00 90.00 90.00
With the nearest neighbours (Å) after each atom.
Space group I-4m2 (No. 119)
One atom of each set of equivalent atoms:
In 0.0000 0.0000 0.0000 x2  4 Ru 2.91, 4 In 2.91, 4 Re 2.91
In 0.0000 0.5000 0.2500 x2  4 Re 2.91, 4 In 2.91, 4 Ru 2.91
Re 0.0000 0.5000 0.7500 x2  8 In 2.91, 4 Ru 2.91
Ru 0.0000 0.0000 0.5000 x2  8 In 2.91, 4 Re 2.91

Output
E_form = 571 meV per atom

A relaxed InRe2Ru crystal. Source: Alexandria, functional GGA-PBE.

a b c (Å): 2.8419 3.9184 5.7897
angles (deg): 90.00 90.00 90.00
With the nearest neighbours (Å) after each atom.
Space group Pmm2 (No. 25)
One atom of each set of equivalent atoms:
In 0.0000 0.0000 0.0000 x1  4 Ru 2.82, 2 In 2.84, 6 Re 2.89-2.98
Re 0.0000 0.0000 0.4986 x1  6 Re 2.68-2.84, 4 Ru 2.83, 2 In 2.89-2.90
Re 0.5000 0.5000 0.2994 x1  1 Ru 2.61, 6 Re 2.68-2.84
Ru 0.5000 0.5000 0.7504 x1  5 Re 2.61-2.83, 4 In 2.82, 2 Ru 2.84

Output
E_form = 310 meV per atom

A relaxed In2ReRu crystal. Source: Alexandria, functional GGA-PBE.

a b c (Å): 10.3953 2.9525 4.9475
angles (deg): 90.00 110.96 90.00
With the nearest neighbours (Å) after each atom.
Space group Cm (No. 8)
One atom of each set of equivalent atoms:
In 0.0000 0.0000 0.0000 x2  3 Re 2.83-2.92, 4 Ru 2.84-2.98, 3 In 2.95-3.05
In 0.2129 0.0000 0.6139 x2  3 Ru 2.84-2.90, 4 Re 2.86-2.97, 3 In 2.95-3.05
Re 0.2572 0.5000 0.1337 x2  2 Ru 2.64, 5 In 2.83-2.92, 2 Re 2.95
Ru 0.4581 0.0000 0.4859 x2  2 Re 2.64, 5 In 2.84-2.90, 2 Ru 2.95

Output
E_form = 348 meV per atom

A relaxed InRe2Ru crystal. Source: Alexandria, functional GGA-PBE.

a b c (Å): 2.9657 4.7641 9.1632
angles (deg): 90.00 90.00 90.00
With the nearest neighbours (Å) after each atom.
Space group Cmm2 (No. 35)
One atom of each set of equivalent atoms:
In 0.0000 0.0000 0.0000 x2  2 Ru 2.76, 6 In 2.81-2.97, 2 Re 2.89
Re 0.0000 0.0000 0.5081 x2  6 Re 2.63-2.81, 2 Ru 2.63
Re 0.0000 0.5000 0.2711 x2  6 Re 2.63-2.81, 2 In 2.89
Ru 0.0000 0.5000 0.7456 x2  2 Re 2.63, 2 In 2.76, 4 Ru 2.81

Output
E_form = 482 meV per atom